PBE Ir2RuS2, optimized geometry; size of the total moment = 0.00 μB per cell; distance to the lowest polymorph of the same formula = 0 meV per atom; raw total energy = -6.4932 eV per atom; energy relative to the elements, uncorrected = 12.9 kcal/mol of atoms
1.0
6.6864 0.0000 0.0000
0.0000 6.6864 0.0000
0.0000 0.0000 3.2019
Ru S Ir
2 4 4
Cartesian
0.0000 0.0000 0.0000
3.3432 3.3432 0.0000
2.2394 5.5826 0.0000
5.5826 4.4470 0.0000
4.4470 1.1038 0.0000
1.1038 2.2394 0.0000
1.0215 4.3647 1.6009
4.3647 5.6649 1.6009
5.6649 2.3217 1.6009
2.3217 1.0215 1.6009